Entry from the Alexandria database: a relaxed structure of Y2ZnCd5 (PBE).

```
Y2ZnCd5
1.0
2.321 1.340 10.994
-2.321 1.340 10.994
0.000 -2.680 10.994
Y Zn Cd
2 1 5
direct
0.090 0.090 0.090
0.910 0.910 0.910
0.000 0.000 0.000
0.196 0.196 0.196
0.362 0.362 0.362
0.500 0.500 0.500
0.638 0.638 0.638
0.804 0.804 0.804
```

Summary:
ΔH_f (0 K): -7.1 kJ/mol of atoms
SG: R-3m

Entry from the Alexandria database: a relaxed structure of Y3Zn2Cd4 (PBE).

```
Y3Zn2Cd4
1.0
5.421 -2.405 0.000
5.421 2.405 0.000
-4.040 0.000 8.050
Y Zn Cd
3 2 4
direct
0.000 0.000 0.000
0.332 0.332 0.338
0.668 0.668 0.662
0.393 0.393 0.723
0.607 0.607 0.277
0.054 0.054 0.382
0.281 0.281 0.939
0.719 0.719 0.061
0.946 0.946 0.618
```

Summary:
ΔH_f (0 K): -32.2 kJ/mol of atoms
SG: C2/m